(1)
A plane-wave DFT calculation with PBE was carried out for an optimized crystal structure of Y2AsRh. Values from VASP.

```
&SYSTEM
  ibrav = 0, nat = 4, ntyp = 3
/
ATOMIC_SPECIES
Y 88.91 Y.upf
As 74.92 As.upf
Rh 102.91 Rh.upf
ATOMIC_POSITIONS crystal
Y 0.000 0.000 0.000
Y 0.250 0.250 0.250
As 0.750 0.750 0.750
Rh 0.500 0.500 0.500
CELL_PARAMETERS angstrom
0.000 3.452 3.452
3.452 0.000 3.452
3.452 3.452 0.000
```

## Properties
Total magnetization: 0.00 μB per formula unit
Electronic total energy: -26.24 eV/cell
Space group: F-43m
E_form: -0.33 eV/atom

(2)
A plane-wave DFT calculation with PBE was carried out for an optimized crystal structure of NpTeCl. Values from VASP.

```
&SYSTEM
  ibrav = 0, nat = 6, ntyp = 3
/
ATOMIC_SPECIES
Np 237.00 Np.upf
Te 127.60 Te.upf
Cl 35.45 Cl.upf
ATOMIC_POSITIONS crystal
Np 0.198 0.198 0.238
Np 0.802 0.802 0.762
Te 0.113 0.113 0.834
Te 0.887 0.887 0.166
Cl 0.366 0.366 0.579
Cl 0.634 0.634 0.421
CELL_PARAMETERS angstrom
5.386 -2.251 0.000
5.386 2.251 0.000
-1.728 0.000 7.625
```

## Properties
Total magnetization: 4.00 μB per formula unit
Electronic total energy: -42.21 eV/cell
Space group: C2/m
Energy relative to the elements, uncorrected: -1059 meV per atom

(3)
A plane-wave DFT calculation with PBE was carried out for an optimized crystal structure of V2HOsW. Values from VASP.

```
&SYSTEM
  ibrav = 0, nat = 5, ntyp = 4
/
ATOMIC_SPECIES
V 50.94 V.upf
H 1.01 H.upf
Os 190.23 Os.upf
W 183.84 W.upf
ATOMIC_POSITIONS crystal
V 0.000 0.500 0.000
V 0.500 0.000 0.000
H 0.000 0.000 0.000
Os 0.000 0.000 0.500
W 0.500 0.500 0.500
CELL_PARAMETERS angstrom
4.150 0.000 0.000
0.000 4.150 0.000
0.000 0.000 3.494
```

## Properties
E above lowest polymorph: 0 meV per atom
Total magnetization: 0.00 μB per formula unit
Electronic total energy: -45.75 eV/cell
Space group: P4/mmm

(4)
A plane-wave DFT calculation with PBE was carried out for an optimized crystal structure of KPuPbF6. Values from VASP.

```
&SYSTEM
  ibrav = 0, nat = 18, ntyp = 4
/
ATOMIC_SPECIES
K 39.10 K.upf
Pu 244.00 Pu.upf
Pb 207.20 Pb.upf
F 19.00 F.upf
ATOMIC_POSITIONS crystal
K 0.333 0.667 0.250
K 0.667 0.333 0.750
Pu 0.333 0.667 0.750
Pu 0.667 0.333 0.250
Pb 0.000 0.000 0.000
Pb 0.000 0.000 0.500
F 0.044 0.353 0.628
F 0.044 0.691 0.872
F 0.309 0.353 0.872
F 0.309 0.956 0.628
F 0.353 0.044 0.128
F 0.353 0.309 0.372
F 0.647 0.691 0.628
F 0.647 0.956 0.872
F 0.691 0.044 0.372
F 0.691 0.647 0.128
F 0.956 0.309 0.128
F 0.956 0.647 0.372
CELL_PARAMETERS angstrom
6.558 0.000 0.000
-3.279 5.679 0.000
0.000 0.000 9.552
```

## Properties
Total magnetization: 5.00 μB per formula unit
Electronic total energy: -114.42 eV/cell
Space group: P-31c
Energy relative to the elements, uncorrected: -2983 meV per atom

(5)
A plane-wave DFT calculation with PBE was carried out for an optimized crystal structure of Rb2SiCF6. Values from VASP.

```
&SYSTEM
  ibrav = 0, nat = 10, ntyp = 4
/
ATOMIC_SPECIES
Rb 85.47 Rb.upf
Si 28.09 Si.upf
C 12.01 C.upf
F 19.00 F.upf
ATOMIC_POSITIONS crystal
Rb 0.250 0.750 0.500
Rb 0.750 0.250 0.500
Si 0.000 0.000 0.000
C 0.500 0.500 0.000
F 0.185 0.185 0.000
F 0.198 0.198 0.396
F 0.198 0.802 0.000
F 0.802 0.198 0.000
F 0.802 0.802 0.604
F 0.815 0.815 0.000
CELL_PARAMETERS angstrom
-3.073 3.073 4.648
3.073 -3.073 4.648
3.073 3.073 -4.648
```

## Properties
Total magnetization: 2.00 μB per formula unit
Electronic total energy: -48.06 eV/cell
Space group: I4/mmm
Energy relative to the elements, uncorrected: -2025 meV per atom

(6)
A plane-wave DFT calculation with PBE was carried out for an optimized crystal structure of ThZn6Ir2. Values from VASP.

```
&SYSTEM
  ibrav = 0, nat = 9, ntyp = 3
/
ATOMIC_SPECIES
Th 232.04 Th.upf
Zn 65.41 Zn.upf
Ir 192.22 Ir.upf
ATOMIC_POSITIONS crystal
Th 0.000 0.000 0.000
Zn 0.054 0.297 0.757
Zn 0.304 0.500 0.804
Zn 0.460 0.703 0.757
Zn 0.540 0.297 0.243
Zn 0.696 0.500 0.196
Zn 0.946 0.703 0.243
Ir 0.384 0.884 0.500
Ir 0.616 0.116 0.500
CELL_PARAMETERS angstrom
-2.239 2.933 5.932
2.239 -2.933 5.932
2.239 2.933 -5.932
```

## Properties
Total magnetization: 0.00 μB per formula unit
Electronic total energy: -33.97 eV/cell
Space group: Immm
E_form: -0.13 eV/atom

(7)
A plane-wave DFT calculation with PBE was carried out for an optimized crystal structure of LaIr3Rh. Values from VASP.

```
&SYSTEM
  ibrav = 0, nat = 5, ntyp = 3
/
ATOMIC_SPECIES
La 138.91 La.upf
Ir 192.22 Ir.upf
Rh 102.91 Rh.upf
ATOMIC_POSITIONS crystal
La 0.000 0.000 0.000
Ir 0.000 0.500 0.500
Ir 0.500 0.000 0.500
Ir 0.500 0.500 0.000
Rh 0.500 0.500 0.500
CELL_PARAMETERS angstrom
4.789 0.000 0.000
0.000 4.789 0.000
0.000 0.000 4.789
```

## Properties
Total magnetization: 0.00 μB per formula unit
Electronic total energy: -34.94 eV/cell
Space group: Pm-3m
E_form: 0.78 eV/atom

(8)
A plane-wave DFT calculation with PBE was carried out for an optimized crystal structure of PtN. Values from VASP.

```
&SYSTEM
  ibrav = 0, nat = 12, ntyp = 2
/
ATOMIC_SPECIES
Pt 195.08 Pt.upf
N 14.01 N.upf
ATOMIC_POSITIONS crystal
Pt 0.116 0.316 0.250
Pt 0.200 0.884 0.250
Pt 0.316 0.200 0.750
Pt 0.684 0.800 0.250
Pt 0.800 0.116 0.750
Pt 0.884 0.684 0.750
N 0.120 0.704 0.750
N 0.296 0.416 0.750
N 0.416 0.120 0.250
N 0.584 0.880 0.750
N 0.704 0.584 0.250
N 0.880 0.296 0.250
CELL_PARAMETERS angstrom
8.847 0.000 0.000
-4.424 7.662 0.000
0.000 0.000 2.914
```

## Properties
Total magnetization: 0.00 μB per formula unit
Electronic total energy: -74.04 eV/cell
Space group: P6_3/m
Energy relative to the elements, uncorrected: 1013 meV per atom